Entry 1:
Below is a relaxed structure of TaCrOs2F, with properties calculated at the PBE with a Hubbard U level.

## Properties
As for the mass density: 13.07 Mg/m³. The calculation puts the total energy at -39.6 eV per formula unit.

Structure (CIF):
```
data_TaCrOs2F
_chemical_formula_sum 'Ta1 Cr1 Os2 F1'
_symmetry_space_group_name_H-M 'P 4/m m m'
_symmetry_Int_Tables_number 123
_symmetry_space_group_name_Hall '-P 4 2'
_cell_length_a 4.752
_cell_length_b 4.752
_cell_length_c 3.556
_cell_angle_alpha 90.00
_cell_angle_beta 90.00
_cell_angle_gamma 90.00
loop_
_atom_site_label
_atom_site_type_symbol
_atom_site_fract_x
_atom_site_fract_y
_atom_site_fract_z
Ta1 Ta 0.000 0.000 0.000
Cr1 Cr 0.500 0.500 0.500
Os1 Os 0.000 0.500 0.500
F1 F 0.500 0.500 0.000
```

***

Entry 2:
Below is a relaxed structure of CrTcOs2F, with properties calculated at the PBE with a Hubbard U level.

## Properties
As for the mass density: 12.02 Mg/m³. The calculation puts the total energy at -35.2 eV per formula unit.

Structure (CIF):
```
data_CrTcOs2F
_chemical_formula_sum 'Cr1 Tc1 Os2 F1'
_symmetry_space_group_name_H-M 'P 4/m m m'
_symmetry_Int_Tables_number 123
_symmetry_space_group_name_Hall '-P 4 2'
_cell_length_a 4.646
_cell_length_b 4.646
_cell_length_c 3.517
_cell_angle_alpha 90.00
_cell_angle_beta 90.00
_cell_angle_gamma 90.00
loop_
_atom_site_label
_atom_site_type_symbol
_atom_site_fract_x
_atom_site_fract_y
_atom_site_fract_z
Cr1 Cr 0.000 0.000 0.000
Tc1 Tc 0.500 0.500 0.500
Os1 Os 0.000 0.500 0.000
F1 F 0.000 0.000 0.500
```

***

Entry 3:
Below is a relaxed structure of CrTeOs2F, with properties calculated at the PBE with a Hubbard U level.

## Properties
As for the mass density: 10.97 Mg/m³. The calculation puts the total energy at -28.5 eV per formula unit.

Structure (CIF):
```
data_CrTeOs2F
_chemical_formula_sum 'Cr1 Te1 Os2 F1'
_symmetry_space_group_name_H-M 'P 4/m m m'
_symmetry_Int_Tables_number 123
_symmetry_space_group_name_Hall '-P 4 2'
_cell_length_a 4.196
_cell_length_b 4.196
_cell_length_c 4.980
_cell_angle_alpha 90.00
_cell_angle_beta 90.00
_cell_angle_gamma 90.00
loop_
_atom_site_label
_atom_site_type_symbol
_atom_site_fract_x
_atom_site_fract_y
_atom_site_fract_z
Cr1 Cr 0.000 0.000 0.000
Te1 Te 0.500 0.500 0.000
Os1 Os 0.000 0.500 0.500
F1 F 0.500 0.500 0.500
```

***

Entry 4:
Below is a relaxed structure of Tl2CrOsF, with properties calculated at the PBE with a Hubbard U level.

## Properties
As for the mass density: 10.32 Mg/m³. The calculation puts the total energy at -22.2 eV per formula unit.

Structure (CIF):
```
data_Tl2CrOsF
_chemical_formula_sum 'Tl2 Cr1 Os1 F1'
_symmetry_space_group_name_H-M 'P 4/m m m'
_symmetry_Int_Tables_number 123
_symmetry_space_group_name_Hall '-P 4 2'
_cell_length_a 5.150
_cell_length_b 5.150
_cell_length_c 4.064
_cell_angle_alpha 90.00
_cell_angle_beta 90.00
_cell_angle_gamma 90.00
loop_
_atom_site_label
_atom_site_type_symbol
_atom_site_fract_x
_atom_site_fract_y
_atom_site_fract_z
Tl1 Tl 0.000 0.500 0.000
Cr1 Cr 0.000 0.000 0.500
Os1 Os 0.500 0.500 0.500
F1 F 0.500 0.500 0.000
```

***

Entry 5:
Below is a relaxed structure of Cr2PF, with properties calculated at the PBE with a Hubbard U level.

## Properties
As for the mass density: 3.95 Mg/m³. The calculation puts the total energy at -25.2 eV per formula unit.

Structure (CIF):
```
data_Cr2PF
_chemical_formula_sum 'Cr8 P4 F4'
_symmetry_space_group_name_H-M 'I -4 2 d'
_symmetry_Int_Tables_number 122
_symmetry_space_group_name_Hall 'I -4 2bw'
_cell_length_a 6.196
_cell_length_b 6.196
_cell_length_c 6.746
_cell_angle_alpha 90.00
_cell_angle_beta 90.00
_cell_angle_gamma 90.00
loop_
_atom_site_label
_atom_site_type_symbol
_atom_site_fract_x
_atom_site_fract_y
_atom_site_fract_z
Cr1 Cr 0.227 0.250 0.125
P1 P 0.000 0.000 0.500
F1 F 0.000 0.000 0.000
```

***

Entry 6:
Below is a relaxed structure of CrPF2, with properties calculated at the PBE with a Hubbard U level.

## Properties
As for the mass density: 4.08 Mg/m³. The calculation puts the total energy at -15.5 eV per formula unit.

Structure (CIF):
```
data_CrPF2
_chemical_formula_sum 'Cr4 P4 F8'
_symmetry_space_group_name_H-M 'F m -3 m'
_symmetry_Int_Tables_number 225
_symmetry_space_group_name_Hall '-F 4 2 3'
_cell_length_a 5.817
_cell_length_b 5.817
_cell_length_c 5.817
_cell_angle_alpha 90.00
_cell_angle_beta 90.00
_cell_angle_gamma 90.00
loop_
_atom_site_label
_atom_site_type_symbol
_atom_site_fract_x
_atom_site_fract_y
_atom_site_fract_z
Cr1 Cr 0.000 0.000 0.000
P1 P 0.000 0.000 0.500
F1 F 0.250 0.250 0.250
```

***

Entry 7:
Below is a relaxed structure of CrP2F, with properties calculated at the PBE with a Hubbard U level.

## Properties
As for the mass density: 4.35 Mg/m³. The calculation puts the total energy at -18.1 eV per formula unit.

Structure (CIF):
```
data_CrP2F
_chemical_formula_sum 'Cr4 P8 F4'
_symmetry_space_group_name_H-M 'F m -3 m'
_symmetry_Int_Tables_number 225
_symmetry_space_group_name_Hall '-F 4 2 3'
_cell_length_a 5.877
_cell_length_b 5.877
_cell_length_c 5.877
_cell_angle_alpha 90.00
_cell_angle_beta 90.00
_cell_angle_gamma 90.00
loop_
_atom_site_label
_atom_site_type_symbol
_atom_site_fract_x
_atom_site_fract_y
_atom_site_fract_z
Cr1 Cr 0.000 0.000 0.000
P1 P 0.250 0.250 0.250
F1 F 0.000 0.000 0.500
```

***

Entry 8:
Below is a relaxed structure of CrPF2, with properties calculated at the PBE with a Hubbard U level.

## Properties
As for the mass density: 3.46 Mg/m³. The calculation puts the total energy at -19.5 eV per formula unit.

Structure (CIF):
```
data_CrPF2
_chemical_formula_sum 'Cr3 P3 F6'
_symmetry_space_group_name_H-M 'R -3 m'
_symmetry_Int_Tables_number 166
_symmetry_space_group_name_Hall '-R 3 2"'
_cell_length_a 2.9227
_cell_length_b 2.9227
_cell_length_c 23.5577
_cell_angle_alpha 90.00
_cell_angle_beta 90.00
_cell_angle_gamma 120.00
loop_
_atom_site_label
_atom_site_type_symbol
_atom_site_fract_x
_atom_site_fract_y
_atom_site_fract_z
Cr1 Cr 0.0000 0.0000 0.0000
P1 P 0.0000 0.0000 0.5000
F1 F 0.0000 0.0000 0.0818
```

***

Entry 9:
Below is a relaxed structure of CrPF3, with properties calculated at the PBE with a Hubbard U level.

## Properties
As for the mass density: 3.30 Mg/m³. The calculation puts the total energy at -24.8 eV per formula unit.

Structure (CIF):
```
data_CrPF3
_chemical_formula_sum 'Cr1 P1 F3'
_symmetry_space_group_name_H-M 'P m -3 m'
_symmetry_Int_Tables_number 221
_symmetry_space_group_name_Hall '-P 4 2 3'
_cell_length_a 4.131
_cell_length_b 4.131
_cell_length_c 4.131
_cell_angle_alpha 90.00
_cell_angle_beta 90.00
_cell_angle_gamma 90.00
loop_
_atom_site_label
_atom_site_type_symbol
_atom_site_fract_x
_atom_site_fract_y
_atom_site_fract_z
Cr1 Cr 0.000 0.000 0.000
P1 P 0.500 0.500 0.500
F1 F 0.000 0.000 0.500
```

***

Entry 10:
Below is a relaxed structure of CrP2F2, with properties calculated at the PBE with a Hubbard U level.

## Properties
As for the mass density: 3.23 Mg/m³. The calculation puts the total energy at -24.1 eV per formula unit.

Structure (CIF):
```
data_CrP2F2
_chemical_formula_sum 'Cr2 P4 F4'
_symmetry_space_group_name_H-M 'P 4/m b m'
_symmetry_Int_Tables_number 127
_symmetry_space_group_name_Hall '-P 4 2ab'
_cell_length_a 5.137
_cell_length_b 5.137
_cell_length_c 5.924
_cell_angle_alpha 90.00
_cell_angle_beta 90.00
_cell_angle_gamma 90.00
loop_
_atom_site_label
_atom_site_type_symbol
_atom_site_fract_x
_atom_site_fract_y
_atom_site_fract_z
Cr1 Cr 0.000 0.000 0.000
P1 P 0.151 0.349 0.500
F1 F 0.174 0.674 0.000
```

***

Entry 11:
Below is a relaxed structure of CrPF3, with properties calculated at the PBE with a Hubbard U level.

## Properties
As for the mass density: 3.06 Mg/m³. The calculation puts the total energy at -23.2 eV per formula unit.

Structure (CIF):
```
data_CrPF3
_chemical_formula_sum 'Cr1 P1 F3'
_symmetry_space_group_name_H-M 'P m -3 m'
_symmetry_Int_Tables_number 221
_symmetry_space_group_name_Hall '-P 4 2 3'
_cell_length_a 4.235
_cell_length_b 4.235
_cell_length_c 4.235
_cell_angle_alpha 90.00
_cell_angle_beta 90.00
_cell_angle_gamma 90.00
loop_
_atom_site_label
_atom_site_type_symbol
_atom_site_fract_x
_atom_site_fract_y
_atom_site_fract_z
Cr1 Cr 0.000 0.000 0.000
P1 P 0.500 0.500 0.500
F1 F 0.000 0.500 0.500
```

***

Entry 12:
Below is a relaxed structure of Cr3PF, with properties calculated at the PBE with a Hubbard U level.

## Properties
As for the mass density: 3.93 Mg/m³. The calculation puts the total energy at -30.1 eV per formula unit.

Structure (CIF):
```
data_Cr3PF
_chemical_formula_sum 'Cr3 P1 F1'
_symmetry_space_group_name_H-M 'P m -3 m'
_symmetry_Int_Tables_number 221
_symmetry_space_group_name_Hall '-P 4 2 3'
_cell_length_a 4.432
_cell_length_b 4.432
_cell_length_c 4.432
_cell_angle_alpha 90.00
_cell_angle_beta 90.00
_cell_angle_gamma 90.00
loop_
_atom_site_label
_atom_site_type_symbol
_atom_site_fract_x
_atom_site_fract_y
_atom_site_fract_z
Cr1 Cr 0.000 0.000 0.500
P1 P 0.500 0.500 0.500
F1 F 0.000 0.000 0.000
```